Li4CaCdAg2 PBE relaxed; calculated volume = 152 Å³ per cell; E = -2.211 eV per atom; energy of formation from the pure elements = -0.1763 eV per atom
1.0
4.7093 0.0000 0.0000
2.3547 4.0784 0.0000
2.3547 1.3595 7.8974
Li Ag Ca Cd
4 2 1 1
Cartesian
2.3547 1.3595 4.7278 Li
7.0640 4.0784 3.1696 Li
4.7093 2.7189 6.6334 Li
4.7093 2.7189 1.2640 Li
7.0640 4.0784 5.9367 Ag
2.3547 1.3595 1.9607 Ag
0.0000 0.0000 0.0000 Ca
4.7093 2.7189 3.9487 Cd



Mg2TaSb PBE relaxed; calculated volume = 78 Å³ per cell; formation energy from raw total energies = 24 kJ/mol of formula units; E = -4.730 eV per atom
1.0
-4.0926 3.4861 -0.0857
-4.7499 -2.2695 1.0941
4.8244 -0.0637 2.3730
Mg Sb Ta
2 1 1
Cartesian
-0.0005 0.0001 0.0001 Mg
-1.8440 2.0153 1.3957 Mg
-4.4210 0.6083 0.5042 Sb
-2.1739 -0.8624 1.9858 Ta